Here is crystalline Cd2Ru2Cl at its relaxed geometry from Alexandria via LeMat-Bulk. Energies are from PBE-GGA.

Structure (extended XYZ):
```
10
Lattice="8.527 0.000 0.000 0.000 8.527 0.000 0.000 0.000 2.790" Properties=species:S:1:pos:R:3 pbc="T T T"
Cd 1.636 2.628 0.000
Cd 2.628 6.892 0.000
Cd 5.899 1.636 0.000
Cd 6.892 5.899 0.000
Ru 0.840 5.103 1.395
Ru 3.424 0.840 1.395
Ru 5.103 7.688 1.395
Ru 7.688 3.424 1.395
Cl 0.000 0.000 0.000
Cl 4.264 4.264 0.000
```

Summary:
Calculated total energy = -38.73 eV for the cell shown
Excess energy over the best structure of this formula in the dataset = 0.243 eV per atom
Total magnetic moment = 5.497 μB per cell



Here is crystalline AlZnFe2 at its relaxed geometry from Alexandria via LeMat-Bulk. Energies are from PBE-GGA.

Structure (extended XYZ):
```
8
Lattice="8.733 0.000 0.000 0.000 2.603 0.000 -0.700 0.000 4.500" Properties=species:S:1:pos:R:3 pbc="T T T"
Al 0.000 0.000 0.000
Al 4.366 1.301 0.000
Zn 2.024 1.301 1.223
Zn 6.390 0.000 1.223
Fe -0.340 1.301 2.300
Fe 1.692 0.000 3.427
Fe 4.026 0.000 2.300
Fe 6.059 1.301 3.427
```

Summary:
Calculated total energy = -44.44 eV for the cell shown
Total magnetic moment = 8.731 μB per cell



Here is crystalline CaZr2PbO6 at its relaxed geometry from Alexandria via LeMat-Bulk. Energies are from PBE-GGA.

Structure (extended XYZ):
```
40
Lattice="8.299 0.000 0.000 0.136 8.298 0.000 0.139 0.134 8.299" Properties=species:S:1:pos:R:3 pbc="T T T"
Ca 0.000 0.000 0.000
Ca 0.229 8.351 4.095
Ca 4.277 4.206 4.151
Ca 4.450 8.414 8.251
Zr 2.487 6.550 6.396
Zr 2.445 6.485 2.234
Zr 2.455 2.375 6.442
Zr 2.406 2.291 2.275
Zr 6.564 6.478 2.252
Zr 6.664 6.561 6.404
Zr 6.612 2.349 6.412
Zr 6.546 2.292 2.302
Pb 0.136 4.212 0.063
Pb 0.253 4.308 4.168
Pb 4.284 0.135 4.234
Pb 4.347 4.200 0.032
O 0.423 6.337 2.667
O 0.493 7.089 6.160
O 0.381 2.743 2.144
O 0.455 2.122 6.932
O 2.098 0.302 2.801
O 2.168 6.951 0.231
O 2.330 4.522 6.842
O 2.318 2.748 4.420
O 2.817 4.447 2.148
O 2.866 0.360 6.276
O 2.986 6.260 4.387
O 2.888 2.013 0.267
O 4.640 6.430 6.825
O 4.568 6.998 1.963
O 4.528 2.196 2.721
O 4.614 2.873 6.170
O 6.320 0.379 6.957
O 6.323 4.466 2.785
O 6.371 2.674 0.274
O 6.509 6.952 4.374
O 7.039 4.513 6.294
O 7.014 6.308 0.232
O 7.001 0.294 2.045
O 7.085 2.039 4.423
```

Summary:
Calculated total energy = -323.32 eV for the cell shown
Total magnetic moment = 0.000 μB per cell